# 1
Density functional theory data (GGA-PBEsol) for crystalline Re3BiCl at its relaxed geometry.

Lattice parameters (Å, degrees): 5.055 5.055 5.055 90.00 90.00 90.00
Element x y z (fractional)
Re: 0.000 0.000 0.500
Re: 0.000 0.500 0.000
Re: 0.500 0.000 0.000
Bi: 0.000 0.000 0.000
Cl: 0.500 0.500 0.500

Summary:
magnetic moment: 5.88 Bohr magnetons per cell
density: 10322 kg/m³
raw formation energy: 3.579 eV per atom

# 2
Density functional theory data (GGA-PBEsol) for crystalline Bi12Rh3Cl2 at its relaxed geometry.

Lattice parameters (Å, degrees): 17.844 16.204 8.996 85.06 64.79 30.15
Element x y z (fractional)
Bi: 0.024 0.330 0.334
Bi: 0.062 0.411 0.766
Bi: 0.172 0.682 0.319
Bi: 0.189 0.666 0.670
Bi: 0.234 0.739 0.938
Bi: 0.261 0.766 0.411
Bi: 0.318 0.828 0.673
Bi: 0.319 0.327 0.172
Bi: 0.327 0.319 0.682
Bi: 0.330 0.024 0.811
Bi: 0.334 0.811 0.024
Bi: 0.411 0.062 0.261
Bi: 0.589 0.938 0.739
Bi: 0.666 0.189 0.976
Bi: 0.670 0.976 0.189
Bi: 0.673 0.681 0.318
Bi: 0.681 0.673 0.828
Bi: 0.682 0.172 0.327
Bi: 0.739 0.234 0.589
Bi: 0.766 0.261 0.062
Bi: 0.811 0.334 0.330
Bi: 0.828 0.318 0.681
Bi: 0.938 0.589 0.234
Bi: 0.976 0.670 0.666
Rh: 0.000 0.500 0.500
Rh: 0.375 0.375 0.375
Rh: 0.500 0.000 0.500
Rh: 0.500 0.500 0.000
Rh: 0.500 0.500 0.500
Rh: 0.625 0.625 0.625
Cl: 0.084 0.666 0.084
Cl: 0.334 0.916 0.334
Cl: 0.666 0.084 0.666
Cl: 0.916 0.334 0.916

Summary:
magnetic moment: 0.00 Bohr magnetons per cell
density: 10349 kg/m³
raw formation energy: -0.294 eV per atom

# 3
Density functional theory data (GGA-PBEsol) for crystalline BiRuSCl2 at its relaxed geometry.

Lattice parameters (Å, degrees): 5.238 5.238 5.352 90.00 90.00 90.00
Element x y z (fractional)
Bi: 0.000 0.000 0.000
Ru: 0.500 0.500 0.500
S: 0.000 0.000 0.500
Cl: 0.000 0.500 0.000
Cl: 0.500 0.000 0.000

Summary:
magnetic moment: 3.09 Bohr magnetons per cell
density: 4670 kg/m³
raw formation energy: 0.858 eV per atom

# 4
Density functional theory data (GGA-PBEsol) for crystalline BiSCl at its relaxed geometry.

Lattice parameters (Å, degrees): 7.697 3.952 10.007 90.00 90.00 90.00
Element x y z (fractional)
Bi: 0.138 0.250 0.135
Bi: 0.362 0.750 0.635
Bi: 0.638 0.250 0.365
Bi: 0.862 0.750 0.865
S: 0.183 0.750 0.953
S: 0.317 0.250 0.453
S: 0.683 0.750 0.547
S: 0.817 0.250 0.047
Cl: 0.027 0.250 0.697
Cl: 0.473 0.750 0.197
Cl: 0.527 0.250 0.803
Cl: 0.973 0.750 0.303

Summary:
magnetic moment: 0.00 Bohr magnetons per cell
density: 6033 kg/m³
raw formation energy: -0.666 eV per atom

# 5
Density functional theory data (GGA-PBEsol) for crystalline TiBiSCl2 at its relaxed geometry.

Lattice parameters (Å, degrees): 4.715 4.715 4.846 90.00 90.00 90.00
Element x y z (fractional)
Ti: 0.000 0.000 0.000
Bi: 0.500 0.500 0.500
S: 0.000 0.000 0.500
Cl: 0.000 0.500 0.000
Cl: 0.500 0.000 0.000

Summary:
magnetic moment: 0.97 Bohr magnetons per cell
density: 5546 kg/m³
raw formation energy: -0.653 eV per atom

# 6
Density functional theory data (GGA-PBEsol) for crystalline ZnBiSCl2 at its relaxed geometry.

Lattice parameters (Å, degrees): 4.635 4.635 4.904 90.00 90.00 90.00
Element x y z (fractional)
Zn: 0.000 0.000 0.000
Bi: 0.500 0.500 0.500
S: 0.000 0.000 0.500
Cl: 0.000 0.500 0.000
Cl: 0.500 0.000 0.000

Summary:
magnetic moment: 0.00 Bohr magnetons per cell
density: 5948 kg/m³
raw formation energy: -0.370 eV per atom

# 7
Density functional theory data (GGA-PBEsol) for crystalline BiSbCl3 at its relaxed geometry.

Lattice parameters (Å, degrees): 5.431 5.431 5.431 90.00 90.00 90.00
Element x y z (fractional)
Bi: 0.000 0.000 0.000
Sb: 0.500 0.500 0.500
Cl: 0.000 0.000 0.500
Cl: 0.000 0.500 0.000
Cl: 0.500 0.000 0.000

Summary:
magnetic moment: 2.77 Bohr magnetons per cell
density: 4531 kg/m³
raw formation energy: -0.111 eV per atom

# 8
Density functional theory data (GGA-PBEsol) for crystalline Bi3SbCl at its relaxed geometry.

Lattice parameters (Å, degrees): 5.426 5.426 5.426 90.00 90.00 90.00
Element x y z (fractional)
Bi: 0.000 0.000 0.500
Bi: 0.000 0.500 0.000
Bi: 0.500 0.000 0.000
Sb: 0.500 0.500 0.500
Cl: 0.000 0.000 0.000

Summary:
magnetic moment: 0.00 Bohr magnetons per cell
density: 8153 kg/m³
raw formation energy: 0.584 eV per atom

# 9
Density functional theory data (GGA-PBEsol) for crystalline BiSbTe2Cl at its relaxed geometry.

Lattice parameters (Å, degrees): 5.754 5.754 5.911 90.00 90.00 90.00
Element x y z (fractional)
Bi: 0.000 0.000 0.000
Sb: 0.000 0.000 0.500
Te: 0.000 0.500 0.000
Te: 0.500 0.000 0.000
Cl: 0.500 0.500 0.500

Summary:
magnetic moment: 0.00 Bohr magnetons per cell
density: 5272 kg/m³
raw formation energy: 0.738 eV per atom

# 10
Density functional theory data (GGA-PBEsol) for crystalline ScBi2Cl at its relaxed geometry.

Lattice parameters (Å, degrees): 11.675 11.675 11.675 158.09 158.09 31.18
Element x y z (fractional)
Sc: 0.000 0.000 0.000
Sc: 0.750 0.250 0.500
Bi: 0.099 0.625 0.974
Bi: 0.375 0.349 0.474
Bi: 0.651 0.125 0.026
Bi: 0.875 0.901 0.526
Cl: 0.250 0.750 0.500
Cl: 0.500 0.500 0.000

Summary:
magnetic moment: 0.00 Bohr magnetons per cell
density: 7474 kg/m³
raw formation energy: -0.368 eV per atom

# 11
Density functional theory data (GGA-PBEsol) for crystalline ScBiCl3 at its relaxed geometry.

Lattice parameters (Å, degrees): 5.050 5.050 5.050 90.00 90.00 90.00
Element x y z (fractional)
Sc: 0.000 0.000 0.000
Bi: 0.500 0.500 0.500
Cl: 0.000 0.000 0.500
Cl: 0.000 0.500 0.000
Cl: 0.500 0.000 0.000

Summary:
magnetic moment: 2.96 Bohr magnetons per cell
density: 4646 kg/m³
raw formation energy: -0.991 eV per atom

# 12
Density functional theory data (GGA-PBEsol) for crystalline SiBi2Cl at its relaxed geometry.

Lattice parameters (Å, degrees): 5.069 5.069 5.069 60.00 60.00 60.00
Element x y z (fractional)
Si: 0.000 0.000 0.000
Bi: 0.250 0.250 0.250
Bi: 0.750 0.750 0.750
Cl: 0.500 0.500 0.500

Summary:
magnetic moment: 0.00 Bohr magnetons per cell
density: 8680 kg/m³
raw formation energy: 0.029 eV per atom
energy above the most stable polymorph in this dataset: 0 meV per atom